a | 8
Lattice="7.461 0.000 0.000 0.000 7.461 0.000 3.730 3.730 4.333" Properties=species:S:1:pos:R:3 comment="RbAs2Rh (PBE, relaxed)" total_magnetization_mub_per_cell=0.0 dos_ef_per_ev_fu=4.02 pbc="T T T"
Rb 3.730 7.461 2.166
As 9.326 10.233 3.249
Rb 3.730 3.730 0.000
As 5.596 4.688 3.249
Rh 0.000 0.000 0.000
Rh 7.461 3.730 2.166
As 0.958 5.596 1.083
As 6.503 1.865 1.083

***

b | 4
Lattice="-0.947 1.819 3.638 -1.958 -2.179 2.976 4.867 -2.004 4.665" Properties=species:S:1:pos:R:3 comment="RbAs2Rh (PBE, relaxed)" total_magnetization_mub_per_cell=0.0 dos_ef_per_ev_fu=1.60 pbc="T T T"
As -0.257 -0.350 2.505
As 2.218 -2.014 8.775
Rh 0.000 0.000 0.000
Rb 0.981 -1.182 5.640

***

Short version: a is the least stable of them.

***

a | 5
Lattice="4.827 0.000 0.000 0.000 4.827 0.000 0.000 0.000 4.827" Properties=species:S:1:pos:R:3 comment="RbAsRh3 (PBE, relaxed)" total_magnetization_mub_per_cell=0.3 dos_ef_per_ev_fu=6.05 pbc="T T T"
Rh 0.000 2.413 0.000
As 2.413 2.413 2.413
Rh 0.000 0.000 2.413
Rb 0.000 0.000 0.000
Rh 2.413 0.000 0.000

***

b | 5
Lattice="4.722 0.000 0.000 0.000 4.722 0.000 0.000 0.000 4.722" Properties=species:S:1:pos:R:3 comment="RbAsRh3 (PBE, relaxed)" total_magnetization_mub_per_cell=0.4 dos_ef_per_ev_fu=4.13 pbc="T T T"
Rh 0.000 0.000 2.361
Rh 0.000 2.361 0.000
Rb 2.361 2.361 2.361
As 0.000 0.000 0.000
Rh 2.361 0.000 0.000

***

Short version: a is the least stable of them.

***

a | 5
Lattice="-3.331 2.428 3.334 -3.475 -3.960 -0.587 1.942 -2.233 3.567" Properties=species:S:1:pos:R:3 comment="RbAsRhSe2 (PBE, relaxed)" total_magnetization_mub_per_cell=0.0 dos_ef_per_ev_fu=5.78 pbc="T T T"
Rh 0.000 0.000 0.000
Se -1.665 1.214 1.667
Se -1.738 -1.980 -0.294
Rb -2.432 -1.883 3.157
As 0.971 -1.117 1.784

***

b | 5
Lattice="-5.067 0.643 -2.636 -2.401 -3.665 3.720 -1.222 4.235 3.383" Properties=species:S:1:pos:R:3 comment="RbAsRhSe2 (PBE, relaxed)" total_magnetization_mub_per_cell=2.7 dos_ef_per_ev_fu=8.62 pbc="T T T"
Se -1.200 -1.832 1.860
Rh -4.345 0.606 2.234
Rb 0.000 0.000 0.000
As -0.611 2.117 1.691
Se -2.533 0.322 -1.318

***

Short version: b is the least stable of them.

***

a | 4
Lattice="-2.454 3.111 -1.264 -3.565 0.779 1.996 1.179 5.460 4.308" Properties=species:S:1:pos:R:3 comment="RbAs2Ru (PBE, relaxed)" total_magnetization_mub_per_cell=0.0 dos_ef_per_ev_fu=4.11 pbc="T T T"
Rb -2.420 4.675 2.520
As -3.224 7.543 4.298
Ru 0.000 0.000 0.000
As -1.616 1.807 0.742

***

b | 8
Lattice="-6.327 0.761 -3.415 -3.437 -2.663 5.776 -5.321 3.554 2.997" Properties=species:S:1:pos:R:3 comment="RbAs2Ru (PBE, relaxed)" total_magnetization_mub_per_cell=0.0 dos_ef_per_ev_fu=2.56 pbc="T T T"
As -9.741 -0.023 0.979
Ru -8.265 1.682 0.382
As -9.561 3.304 -0.681
Rb -6.820 -0.030 4.977
As -6.569 1.134 -1.124
As -7.188 2.312 2.353
Rb -4.882 -0.951 1.181
Ru 0.000 0.000 0.000

***

c | 4
Lattice="1.520 -3.346 -3.109 -2.573 -4.014 -0.665 -2.359 -0.689 -4.139" Properties=species:S:1:pos:R:3 comment="RbAs2Ru (PBE, relaxed)" total_magnetization_mub_per_cell=0.0 dos_ef_per_ev_fu=2.37 pbc="T T T"
Rb 0.000 0.000 0.000
As -2.559 -6.037 -5.935
As -0.853 -2.012 -1.978
Ru -1.706 -4.025 -3.956

***

Short version: c is the least stable of them.

***

a | 5
Lattice="5.893 0.000 0.000 0.000 5.893 0.000 0.000 0.000 5.893" Properties=species:S:1:pos:R:3 comment="RbAs3S (PBE, relaxed)" total_magnetization_mub_per_cell=5.2 dos_ef_per_ev_fu=7.88 pbc="T T T"
S 2.946 2.946 2.946
Rb 0.000 0.000 0.000
As 0.000 0.000 2.946
As 2.946 0.000 0.000
As 0.000 2.946 0.000

***

b | 5
Lattice="5.068 0.000 0.000 0.000 5.068 0.000 0.000 0.000 5.068" Properties=species:S:1:pos:R:3 comment="RbAs3S (PBE, relaxed)" total_magnetization_mub_per_cell=0.0 dos_ef_per_ev_fu=6.73 pbc="T T T"
S 0.000 0.000 0.000
As 0.000 0.000 2.534
Rb 2.534 2.534 2.534
As 0.000 2.534 0.000
As 2.534 0.000 0.000

***

Short version: a is the least stable of them.

***

a | 6
Lattice="-2.883 2.929 -0.019 -1.984 -1.989 -4.639 -6.170 -6.733 1.689" Properties=species:S:1:pos:R:3 comment="RbAsS (PBE, relaxed)" total_magnetization_mub_per_cell=0.0 dos_ef_per_ev_fu=0.10 pbc="T T T"
As -5.287 -4.358 -0.334
S -4.525 -0.776 -1.133
As -5.675 -1.866 0.425
S -6.436 -5.448 1.224
Rb -3.988 -3.134 -3.503
Rb -8.957 -5.079 -1.045

***

b | 6
Lattice="7.558 -0.425 -0.052 1.377 4.580 0.076 1.303 1.240 7.162" Properties=species:S:1:pos:R:3 comment="RbAsS (PBE, relaxed)" total_magnetization_mub_per_cell=0.0 dos_ef_per_ev_fu=0.15 pbc="T T T"
Rb 7.012 2.809 3.593
As 3.500 1.426 3.477
S 0.398 0.493 1.879
S 4.691 0.970 5.282
As 2.965 4.618 3.760
Rb 2.581 2.402 0.037

***

Short version: b is the least stable of them.